# GGA+U MgVSi4O10, relaxed
# Density ... 2.9 g cm⁻³
# Volume ... 12.59 A^3/atom
# Total magnetic moment ... 0.19 μB/atom
# DFT total energy ... -7.6061 eV per atom
# N(E_F) ... 0.0 states/eV per cell
# Crystal system ... tetragonal
data_MgVSi4O10
_chemical_formula_sum 'Mg4 V4 Si16 O40'
_cell_length_a 7.329
_cell_length_b 7.329
_cell_length_c 15.004
_cell_angle_alpha 90.00
_cell_angle_beta 90.00
_cell_angle_gamma 90.00
_space_group_name_H-M_alt 'P 4/n c c'
_space_group_IT_number 130
loop_
_space_group_symop_operation_xyz
'x,y,z'
'-x,-y,-z'
'-y+1/2,x,z'
'y+1/2,-x,-z'
'-x+1/2,-y+1/2,z'
'x+1/2,y+1/2,-z'
'y,-x+1/2,z'
'-y,x+1/2,-z'
'x+1/2,-y,-z+1/2'
'-x+1/2,y,z+1/2'
'-y,-x,-z+1/2'
'y,x,z+1/2'
'-x,y+1/2,-z+1/2'
'x,-y+1/2,z+1/2'
'y+1/2,x+1/2,-z+1/2'
'-y+1/2,-x+1/2,z+1/2'
loop_
_atom_site_label
_atom_site_fract_x
_atom_site_fract_y
_atom_site_fract_z
Mg1 0.250 0.750 0.000
V1 0.250 0.250 0.072
Si1 0.011 0.593 0.146
O1 0.001 0.188 0.874
O2 0.022 0.663 0.425
O3 0.062 0.562 0.250